# 1
This record from Alexandria describes a relaxed KCo2AsO crystal. The functional is GGA+U.

Calculated values
magnetization	5.7	Bohr magnetons per cell
uncorrected energy	-4.051	eV per atom
density of states at the Fermi level	1.99	states/eV per cell

Unit cell a=4.226 b=4.928 c=4.226 alpha=90.00 beta=90.00 gamma=90.00
Sites, in units of the cell vectors:
O 0.000 0.000 0.000
Co 0.000 0.000 0.500
K 0.000 0.500 0.000
As 0.500 0.500 0.500
Co 0.500 0.000 0.000


# 2
This record from Alexandria describes a relaxed KCoAs2O crystal. The functional is GGA+U.

Calculated values
magnetization	0.7	Bohr magnetons per cell
uncorrected energy	-3.850	eV per atom
density of states at the Fermi level	2.48	states/eV per cell

Unit cell a=4.551 b=4.691 c=4.551 alpha=90.00 beta=90.00 gamma=90.00
Sites, in units of the cell vectors:
As 0.000 0.000 0.500
K 0.500 0.500 0.500
Co 0.000 0.000 0.000
As 0.500 0.000 0.000
O 0.000 0.500 0.000


# 3
This record from Alexandria describes a relaxed KCoAsO4 crystal. The functional is GGA+U.

Calculated values
magnetization	5.9	Bohr magnetons per cell
uncorrected energy	-5.745	eV per atom
density of states at the Fermi level	0.00	states/eV per cell

Unit cell a=5.484 b=5.790 c=7.350 alpha=90.00 beta=104.89 gamma=90.00
Sites, in units of the cell vectors:
O 0.044 0.527 0.330
K 0.716 0.750 0.934
O 0.506 0.750 0.526
K 0.284 0.250 0.066
As 0.739 0.250 0.674
O 0.044 0.973 0.330
O 0.956 0.473 0.670
O 0.360 0.750 0.126
O 0.494 0.250 0.474
O 0.956 0.027 0.670
O 0.640 0.250 0.874
As 0.261 0.750 0.326
Co 0.156 0.250 0.525
Co 0.844 0.750 0.475


# 4
This record from Alexandria describes a relaxed K2CoAsO4 crystal. The functional is GGA+U.

Calculated values
magnetization	4.0	Bohr magnetons per cell
uncorrected energy	-5.180	eV per atom
density of states at the Fermi level	6.02	states/eV per cell

Unit cell a=5.466 b=6.479 c=9.922 alpha=83.33 beta=74.01 gamma=65.05
Sites, in units of the cell vectors:
As 0.500 0.000 0.000
O 0.912 0.672 0.591
K 0.574 0.500 0.853
O 0.415 0.672 0.409
O 0.838 0.828 0.909
O 0.575 0.172 0.091
K 0.176 0.000 0.647
O 0.253 0.172 0.909
O 0.497 0.328 0.591
Co 0.000 0.000 0.000
K 0.926 0.500 0.147
O 0.175 0.328 0.409
As 0.250 0.500 0.500
O 0.335 0.828 0.091
Co 0.750 0.500 0.500
K 0.824 0.000 0.353


# 5
This record from Alexandria describes a relaxed KCoAs2O6 crystal. The functional is GGA+U.

Calculated values
magnetization	5.9	Bohr magnetons per cell
uncorrected energy	-5.764	eV per atom
density of states at the Fermi level	3.46	states/eV per cell

Unit cell a=6.019 b=8.101 c=8.101 alpha=72.62 beta=57.57 gamma=57.57
Sites, in units of the cell vectors:
K 0.750 0.294 0.706
O 0.387 0.182 0.039
O 0.916 0.396 0.916
As 0.378 0.802 0.620
As 0.622 0.198 0.380
O 0.584 0.084 0.604
K 0.250 0.706 0.294
O 0.887 0.039 0.182
O 0.731 0.656 0.635
O 0.613 0.818 0.961
Co 0.250 0.095 0.905
O 0.231 0.635 0.656
As 0.122 0.380 0.198
O 0.269 0.344 0.365
O 0.769 0.365 0.344
O 0.084 0.604 0.084
As 0.878 0.620 0.802
O 0.416 0.916 0.396
O 0.113 0.961 0.818
Co 0.750 0.905 0.095


Question: Number 3 is which compound?
Answer: KCoAsO4